(1)
{"formula": "AlMo2Au", "functional": "PBE", "state": "optimized geometry", "energy_ev_per_atom": -7.175, "crystal_system": "orthorhombic", "formation_enthalpy_0k_mev_per_atom": -5, "cell": [[2.785, -0.002, 0.000], [-0.896, 2.637, 0.000], [0.000, 0.000, 8.812]], "species": ["Mo", "Mo", "Al", "Au"], "fractional_positions": [[0.000, 0.000, 0.013], [0.500, 0.500, 0.254], [0.000, 0.000, 0.494], [0.500, 0.500, 0.739]]}

=====

(2)
{"formula": "AlMoOsAu2", "functional": "PBE", "state": "optimized geometry", "energy_ev_per_atom": -5.153, "crystal_system": "tetragonal", "formation_enthalpy_0k_mev_per_atom": 1318, "cell": [[-2.188, 4.439, -1.272], [0.904, -0.839, -4.484], [-4.509, -2.357, -0.468]], "species": ["Mo", "Os", "Al", "Au", "Au"], "fractional_positions": [[0.000, 0.500, 0.000], [0.000, 0.000, 0.000], [0.500, 0.500, 0.500], [0.500, 0.000, 0.000], [0.000, 0.000, 0.500]]}

=====

(3)
{"formula": "AlMoPAu2", "functional": "PBE", "state": "optimized geometry", "energy_ev_per_atom": -4.415, "crystal_system": "tetragonal", "formation_enthalpy_0k_mev_per_atom": 893, "cell": [[-1.001, -2.888, -3.698], [3.362, -2.813, 1.287], [-3.090, -2.439, 2.742]], "species": ["Mo", "Au", "Au", "Al", "P"], "fractional_positions": [[0.500, 0.500, 0.500], [0.000, 0.000, 0.500], [0.500, 0.000, 0.000], [0.000, 0.000, 0.000], [0.000, 0.500, 0.000]]}